Model w:
Here is a geometry-optimized Na2BeBi structure from Alexandria via LeMat-Bulk. Energies are from PBE.

Values from the calculation:
M_tot = 0.00 Bohr magnetons per cell
calculated volume = 39.19 A^3/atom
space-group type = I-42d

Lattice parameters (Å, degrees): 11.4169 11.4169 8.4237 47.34 47.34 90.00
Fractional coordinates of all 8 atoms:
Na: 0.3889 0.1250 0.2500
Na: 0.3611 0.6250 0.2500
Na: 0.3750 0.6111 0.7500
Na: 0.8750 0.6389 0.7500
Bi: 0.0000 0.0000 0.0000
Bi: 0.7500 0.2500 0.5000
Be: 0.5000 0.5000 0.0000
Be: 0.2500 0.7500 0.5000

***

Model x:
Here is a geometry-optimized Na2BeBi structure from Alexandria via LeMat-Bulk. Energies are from PBE.

Values from the calculation:
M_tot = 0.00 Bohr magnetons per cell
calculated volume = 23.94 A^3/atom
space-group type = Fm-3m

Lattice parameters (Å, degrees): 5.1353 5.1353 5.1353 60.00 60.00 60.00
Fractional coordinates of all 4 atoms:
Na: 0.2500 0.2500 0.2500
Na: 0.7500 0.7500 0.7500
Bi: 0.5000 0.5000 0.5000
Be: 0.0000 0.0000 0.0000

***

Last place for stability: model x

***

Model w:
Here is a geometry-optimized BeNbBi3 structure from Alexandria via LeMat-Bulk. Energies are from PBE.

Values from the calculation:
M_tot = 0.00 Bohr magnetons per cell
calculated volume = 33.15 A^3/atom
space-group type = Pm-3m

Lattice parameters (Å, degrees): 5.4930 5.4930 5.4930 90.00 90.00 90.00
Fractional coordinates of all 5 atoms:
Be: 0.5000 0.5000 0.5000
Nb: 0.0000 0.0000 0.0000
Bi: 0.0000 0.5000 0.0000
Bi: 0.0000 0.0000 0.5000
Bi: 0.5000 0.0000 0.0000

***

Model x:
Here is a geometry-optimized BeNbBi3 structure from Alexandria via LeMat-Bulk. Energies are from PBE.

Values from the calculation:
M_tot = 2.98 Bohr magnetons per cell
calculated volume = 26.20 A^3/atom
space-group type = Pm-3m

Lattice parameters (Å, degrees): 5.0785 5.0785 5.0785 90.00 90.00 90.00
Each line ends with the local moment (μB).
Fractional coordinates of all 5 atoms:
Be: 0.0000 0.0000 0.0000  0.05
Nb: 0.5000 0.5000 0.5000  2.37
Bi: 0.0000 0.5000 0.0000  -0.04
Bi: 0.0000 0.0000 0.5000  -0.04
Bi: 0.5000 0.0000 0.0000  -0.05

***

Last place for stability: model w

***

Model w:
Here is a geometry-optimized Be2Nb2Bi structure from Alexandria via LeMat-Bulk. Energies are from PBE.

Values from the calculation:
M_tot = 0.00 Bohr magnetons per cell
calculated volume = 16.98 A^3/atom
space-group type = P4/mbm

Lattice parameters (Å, degrees): 7.4099 7.4099 3.0933 90.00 90.00 90.00
Fractional coordinates of all 10 atoms:
Be: 0.1682 0.6682 0.5000
Be: 0.6682 0.8318 0.5000
Be: 0.8318 0.3318 0.5000
Be: 0.3318 0.1682 0.5000
Nb: 0.3715 0.8715 0.0000
Nb: 0.8715 0.6285 0.0000
Nb: 0.6285 0.1285 0.0000
Nb: 0.1285 0.3715 0.0000
Bi: 0.0000 0.0000 0.0000
Bi: 0.5000 0.5000 0.0000

***

Model x:
Here is a geometry-optimized Be2Nb2Bi structure from Alexandria via LeMat-Bulk. Energies are from PBE.

Values from the calculation:
M_tot = 0.00 Bohr magnetons per cell
calculated volume = 17.07 A^3/atom
space-group type = I4/mmm

Lattice parameters (Å, degrees): 3.6003 3.6003 7.0612 75.23 75.23 90.00
Fractional coordinates of all 5 atoms:
Be: 0.7500 0.2500 0.5000
Be: 0.2500 0.7500 0.5000
Nb: 0.3852 0.3852 0.2295
Nb: 0.6148 0.6148 0.7705
Bi: 0.0000 0.0000 0.0000

***

Last place for stability: model x

***

Model w:
Here is a geometry-optimized BeNb3Bi structure from Alexandria via LeMat-Bulk. Energies are from PBE.

Values from the calculation:
M_tot = 0.00 Bohr magnetons per cell
calculated volume = 27.13 A^3/atom
space-group type = Pm-3m

Lattice parameters (Å, degrees): 5.1384 5.1384 5.1384 90.00 90.00 90.00
Fractional coordinates of all 5 atoms:
Be: 0.5000 0.5000 0.5000
Nb: 0.0000 0.5000 0.0000
Nb: 0.0000 0.0000 0.5000
Nb: 0.5000 0.0000 0.0000
Bi: 0.0000 0.0000 0.0000

***

Model x:
Here is a geometry-optimized BeNb3Bi structure from Alexandria via LeMat-Bulk. Energies are from PBE.

Values from the calculation:
M_tot = 0.00 Bohr magnetons per cell
calculated volume = 18.52 A^3/atom
space-group type = Pm-3m

Lattice parameters (Å, degrees): 4.5240 4.5240 4.5240 90.00 90.00 90.00
Fractional coordinates of all 5 atoms:
Be: 0.0000 0.0000 0.0000
Nb: 0.0000 0.5000 0.0000
Nb: 0.0000 0.0000 0.5000
Nb: 0.5000 0.0000 0.0000
Bi: 0.5000 0.5000 0.5000

***

Last place for stability: model w

***

Model w:
Here is a geometry-optimized Be2NbBi structure from Alexandria via LeMat-Bulk. Energies are from PBE.

Values from the calculation:
M_tot = 1.19 Bohr magnetons per cell
calculated volume = 16.47 A^3/atom
space-group type = Fm-3m

Lattice parameters (Å, degrees): 4.5337 4.5337 4.5337 60.00 60.00 60.00
Each line ends with the local moment (μB).
Fractional coordinates of all 4 atoms:
Be: 0.2500 0.2500 0.2500  0.01
Be: 0.7500 0.7500 0.7500  0.01
Nb: 0.0000 0.0000 0.0000  0.95
Bi: 0.5000 0.5000 0.5000  0.00

***

Model x:
Here is a geometry-optimized Be2NbBi structure from Alexandria via LeMat-Bulk. Energies are from PBE.

Values from the calculation:
M_tot = 0.00 Bohr magnetons per cell
calculated volume = 17.10 A^3/atom
space-group type = I-42d

Lattice parameters (Å, degrees): 6.9681 6.9681 5.6761 52.13 52.13 90.00
Fractional coordinates of all 8 atoms:
Be: 0.6153 0.1250 0.2500
Be: 0.1347 0.6250 0.2500
Be: 0.3750 0.3847 0.7500
Be: 0.8750 0.8653 0.7500
Nb: 0.5000 0.5000 0.0000
Nb: 0.2500 0.7500 0.5000
Bi: 0.0000 0.0000 0.0000
Bi: 0.7500 0.2500 0.5000

***

Last place for stability: model w

***

Model w:
Here is a geometry-optimized BeNbBiPt structure from Alexandria via LeMat-Bulk. Energies are from PBE.

Values from the calculation:
M_tot = 0.00 Bohr magnetons per cell
calculated volume = 18.45 A^3/atom
space-group type = Cm

Lattice parameters (Å, degrees): 7.2434 3.4991 6.3626 90.00 113.72 90.00
Fractional coordinates of all 8 atoms:
Be: 0.0411 0.0000 0.9729
Be: 0.0411 0.5000 0.4729
Nb: 0.8289 0.0000 0.2022
Nb: 0.8289 0.5000 0.7022
Bi: 0.5105 0.0000 0.3762
Bi: 0.5105 0.5000 0.8762
Pt: 0.1548 0.0000 0.6959
Pt: 0.1548 0.5000 0.1959

***

Model x:
Here is a geometry-optimized BeNbBiPt structure from Alexandria via LeMat-Bulk. Energies are from PBE.

Values from the calculation:
M_tot = 0.00 Bohr magnetons per cell
calculated volume = 18.20 A^3/atom
space-group type = R3m

Lattice parameters (Å, degrees): 3.7162 3.7162 18.2566 90.00 90.00 120.00
Fractional coordinates of all 12 atoms:
Be: 0.0000 0.0000 0.6516
Be: 0.3333 0.6667 0.3183
Be: 0.6667 0.3333 0.9849
Nb: 0.0000 0.0000 0.0573
Nb: 0.3333 0.6667 0.7240
Nb: 0.6667 0.3333 0.3907
Bi: 0.0000 0.0000 0.5003
Bi: 0.3333 0.6667 0.1670
Bi: 0.6667 0.3333 0.8336
Pt: 0.0000 0.0000 0.2790
Pt: 0.3333 0.6667 0.9457
Pt: 0.6667 0.3333 0.6123

***

Model y:
Here is a geometry-optimized BeNbBiPt structure from Alexandria via LeMat-Bulk. Energies are from PBE.

Values from the calculation:
M_tot = 0.00 Bohr magnetons per cell
calculated volume = 17.81 A^3/atom
space-group type = Pm

Lattice parameters (Å, degrees): 4.7601 3.0760 5.0205 90.00 104.31 90.00
Fractional coordinates of all 4 atoms:
Be: 0.1243 0.5000 0.4588
Nb: 0.0288 0.0000 0.9994
Bi: 0.6173 0.0000 0.3982
Pt: 0.4748 0.5000 0.8536

***

Model z:
Here is a geometry-optimized BeNbBiPt structure from Alexandria via LeMat-Bulk. Energies are from PBE.

Values from the calculation:
M_tot = 0.00 Bohr magnetons per cell
calculated volume = 18.01 A^3/atom
space-group type = Amm2

Lattice parameters (Å, degrees): 3.7437 3.7378 10.2965 90.00 90.00 90.00
Fractional coordinates of all 8 atoms:
Be: 0.5000 0.0000 0.9901
Be: 0.5000 0.5000 0.4901
Nb: 0.0000 0.0000 0.4196
Nb: 0.0000 0.5000 0.9196
Bi: 0.5000 0.0000 0.7440
Bi: 0.5000 0.5000 0.2440
Pt: 0.0000 0.0000 0.1139
Pt: 0.0000 0.5000 0.6139

***

Last place for stability: model y

***

Model w:
Here is a geometry-optimized BeNbBiPt structure from Alexandria via LeMat-Bulk. Energies are from PBE.

Values from the calculation:
M_tot = 0.00 Bohr magnetons per cell
calculated volume = 18.44 A^3/atom
space-group type = Cm

Lattice parameters (Å, degrees): 8.1303 4.3522 4.3241 90.00 105.36 90.00
Fractional coordinates of all 8 atoms:
Be: 0.0353 0.0000 0.6285
Be: 0.0353 0.5000 0.1285
Nb: 0.8165 0.0000 0.0193
Nb: 0.8165 0.5000 0.5193
Bi: 0.5244 0.0000 0.3765
Bi: 0.5244 0.5000 0.8765
Pt: 0.1592 0.0000 0.1901
Pt: 0.1592 0.5000 0.6901

***

Model x:
Here is a geometry-optimized BeNbBiPt structure from Alexandria via LeMat-Bulk. Energies are from PBE.

Values from the calculation:
M_tot = 0.00 Bohr magnetons per cell
calculated volume = 20.51 A^3/atom
space-group type = Amm2

Lattice parameters (Å, degrees): 4.3604 4.1644 9.0378 90.00 90.00 90.00
Fractional coordinates of all 8 atoms:
Be: 0.0000 0.0000 0.2115
Be: 0.0000 0.5000 0.7115
Nb: 0.0000 0.0000 0.9082
Nb: 0.0000 0.5000 0.4082
Bi: 0.5000 0.0000 0.4088
Bi: 0.5000 0.5000 0.9088
Pt: 0.0000 0.0000 0.6166
Pt: 0.0000 0.5000 0.1166

***

Last place for stability: model x

***

Model w:
Here is a geometry-optimized BeNbBiPt structure from Alexandria via LeMat-Bulk. Energies are from PBE.

Values from the calculation:
M_tot = 0.00 Bohr magnetons per cell
calculated volume = 19.14 A^3/atom
space-group type = Amm2

Lattice parameters (Å, degrees): 2.9624 3.5771 14.4495 90.00 90.00 90.00
Fractional coordinates of all 8 atoms:
Be: 0.5000 0.0000 0.5368
Be: 0.5000 0.5000 0.0368
Nb: 0.5000 0.0000 0.9015
Nb: 0.5000 0.5000 0.4015
Bi: 0.0000 0.0000 0.2646
Bi: 0.0000 0.5000 0.7646
Pt: 0.0000 0.0000 0.0648
Pt: 0.0000 0.5000 0.5648

***

Model x:
Here is a geometry-optimized BeNbBiPt structure from Alexandria via LeMat-Bulk. Energies are from PBE.

Values from the calculation:
M_tot = 0.00 Bohr magnetons per cell
calculated volume = 18.27 A^3/atom
space-group type = Cm

Lattice parameters (Å, degrees): 7.4309 3.1065 6.9240 90.00 113.84 90.00
Fractional coordinates of all 8 atoms:
Be: 0.0465 0.0000 0.9983
Be: 0.0465 0.5000 0.4983
Nb: 0.8210 0.0000 0.6045
Nb: 0.8210 0.5000 0.1045
Bi: 0.5007 0.0000 0.7621
Bi: 0.5007 0.5000 0.2621
Pt: 0.1671 0.0000 0.3508
Pt: 0.1671 0.5000 0.8508

***

Last place for stability: model x

***

Model w:
Here is a geometry-optimized BeNbBiPt structure from Alexandria via LeMat-Bulk. Energies are from PBE.

Values from the calculation:
M_tot = 0.00 Bohr magnetons per cell
calculated volume = 19.11 A^3/atom
space-group type = P1

Lattice parameters (Å, degrees): 3.0404 3.7431 7.5777 77.67 78.60 66.14
Fractional coordinates of all 4 atoms:
Be: 0.6046 0.7286 0.9637
Nb: 0.8265 0.0723 0.1791
Bi: 0.4411 0.5501 0.4714
Pt: 0.3450 0.3589 0.8505

***

Model x:
Here is a geometry-optimized BeNbBiPt structure from Alexandria via LeMat-Bulk. Energies are from PBE.

Values from the calculation:
M_tot = 0.00 Bohr magnetons per cell
calculated volume = 19.19 A^3/atom
space-group type = Cm

Lattice parameters (Å, degrees): 7.1761 3.2706 6.5442 90.00 91.63 90.00
Fractional coordinates of all 8 atoms:
Be: 0.0361 0.0000 0.6994
Be: 0.0361 0.5000 0.1994
Nb: 0.8274 0.0000 0.3814
Nb: 0.8274 0.5000 0.8814
Bi: 0.5293 0.0000 0.0603
Bi: 0.5293 0.5000 0.5603
Pt: 0.1424 0.0000 0.0179
Pt: 0.1424 0.5000 0.5179

***

Last place for stability: model w

***

Model w:
Here is a geometry-optimized BeBi2O structure from Alexandria via LeMat-Bulk. Energies are from PBE.

Values from the calculation:
M_tot = 0.00 Bohr magnetons per cell
calculated volume = 18.23 A^3/atom
space-group type = Fm-3m

Lattice parameters (Å, degrees): 4.6892 4.6892 4.6892 60.00 60.00 60.00
Fractional coordinates of all 4 atoms:
Be: 0.0000 0.0000 0.0000
Bi: 0.2500 0.2500 0.2500
Bi: 0.7500 0.7500 0.7500
O: 0.5000 0.5000 0.5000

***

Model x:
Here is a geometry-optimized BeBi2O structure from Alexandria via LeMat-Bulk. Energies are from PBE.

Values from the calculation:
M_tot = 0.00 Bohr magnetons per cell
calculated volume = 22.75 A^3/atom
space-group type = I-42d

Lattice parameters (Å, degrees): 5.4046 5.4046 7.3088 68.30 68.30 90.00
Fractional coordinates of all 8 atoms:
Be: 0.5000 0.5000 0.0000
Be: 0.2500 0.7500 0.5000
Bi: 0.6476 0.1250 0.2500
Bi: 0.1024 0.6250 0.2500
Bi: 0.3750 0.3524 0.7500
Bi: 0.8750 0.8976 0.7500
O: 0.0000 0.0000 0.0000
O: 0.7500 0.2500 0.5000

***

Last place for stability: model w

***

Model w:
Here is a geometry-optimized Be2BiO structure from Alexandria via LeMat-Bulk. Energies are from PBE.

Values from the calculation:
M_tot = 0.00 Bohr magnetons per cell
calculated volume = 13.69 A^3/atom
space-group type = I-42d

Lattice parameters (Å, degrees): 4.7284 4.7284 5.9318 66.51 66.51 90.00
Fractional coordinates of all 8 atoms:
Be: 0.3304 0.1250 0.2500
Be: 0.4196 0.6250 0.2500
Be: 0.3750 0.6696 0.7500
Be: 0.8750 0.5804 0.7500
Bi: 0.0000 0.0000 0.0000
Bi: 0.7500 0.2500 0.5000
O: 0.5000 0.5000 0.0000
O: 0.2500 0.7500 0.5000

***

Model x:
Here is a geometry-optimized Be2BiO structure from Alexandria via LeMat-Bulk. Energies are from PBE.

Values from the calculation:
M_tot = 1.00 Bohr magnetons per cell
calculated volume = 14.26 A^3/atom
space-group type = Fm-3m

Lattice parameters (Å, degrees): 4.3212 4.3212 4.3212 60.00 60.00 60.00
Each line ends with the local moment (μB).
Fractional coordinates of all 4 atoms:
Be: 0.2500 0.2500 0.2500  0.03
Be: 0.7500 0.7500 0.7500  0.03
Bi: 0.5000 0.5000 0.5000  0.15
O: 0.0000 0.0000 0.0000  0.65

***

Last place for stability: model x

***

Model w:
Here is a geometry-optimized BeBiOs2 structure from Alexandria via LeMat-Bulk. Energies are from PBE.

Values from the calculation:
M_tot = 0.00 Bohr magnetons per cell
calculated volume = 15.49 A^3/atom
space-group type = Fm-3m

Lattice parameters (Å, degrees): 4.4419 4.4419 4.4419 60.00 60.00 60.00
Fractional coordinates of all 4 atoms:
Be: 0.0000 0.0000 0.0000
Os: 0.2500 0.2500 0.2500
Os: 0.7500 0.7500 0.7500
Bi: 0.5000 0.5000 0.5000

***

Model x:
Here is a geometry-optimized BeBiOs2 structure from Alexandria via LeMat-Bulk. Energies are from PBE.

Values from the calculation:
M_tot = 0.00 Bohr magnetons per cell
calculated volume = 18.97 A^3/atom
space-group type = I-42d

Lattice parameters (Å, degrees): 4.3132 4.3132 8.7108 75.67 75.67 90.00
Fractional coordinates of all 8 atoms:
Be: 0.5000 0.5000 0.0000
Be: 0.2500 0.7500 0.5000
Os: 0.5072 0.1250 0.2500
Os: 0.2428 0.6250 0.2500
Os: 0.3750 0.4928 0.7500
Os: 0.8750 0.7572 0.7500
Bi: 0.0000 0.0000 0.0000
Bi: 0.7500 0.2500 0.5000

***

Last place for stability: model w